UBeSi | PBE | optimized geometry

Properties
For the uncorrected formation energy, the calculation gives 469 meV per atom.

abc: 3.8107 3.8107 7.6088
angles: 90.00 90.00 90.00
Last column: nearest neighbours and their distance in Å.
Space group I4mm (No. 107)
Asymmetric unit:
1 U 0.0000 0.0000 0.0000  5 Be 2.70-2.91, 5 Si 2.74-2.90
2 Be 0.0000 0.0000 0.3549  1 Si 2.17
3 Si 0.0000 0.0000 0.6403  1 Be 2.17

UCdHgPb | PBE | optimized geometry

Properties
The calculation puts the formation energy at 23 kJ per mole of atoms.

abc: 7.4410 7.4410 7.4410
angles: 90.00 90.00 90.00
Last column: nearest neighbours and their distance in Å.
Space group F-43m (No. 216)
Asymmetric unit:
1 U 0.0000 0.0000 0.0000  4 Hg 3.22, 4 Pb 3.22
2 Cd 0.0000 0.0000 0.5000  4 Hg 3.22, 4 Pb 3.22
3 Hg 0.2500 0.2500 0.7500  4 Cd 3.22, 4 U 3.22
4 Pb 0.2500 0.2500 0.2500  4 Cd 3.22, 4 U 3.22

MgAlCd2 | PBE | optimized geometry

Properties
The calculation puts the formation energy at 19 kJ per mole of atoms.

abc: 7.9984 7.9984 5.8955
angles: 90.00 90.00 90.00
Last column: nearest neighbours and their distance in Å.
Space group I-42d (No. 122)
Asymmetric unit:
1 Mg 0.0000 0.0000 0.0000  2 Al 2.95, 4 Cd 3.04
2 Al 0.0000 0.0000 0.5000  4 Cd 2.81, 2 Mg 2.95
3 Cd 0.2283 0.2500 0.6250  2 Al 2.81, 2 Cd 2.97, 2 Mg 3.04

GdMgAg | PBE | optimized geometry

Properties
The calculation puts the formation energy at -7 kJ per mole of atoms.

abc: 6.8944 6.8944 6.8944
angles: 90.00 90.00 90.00
Last column: nearest neighbours and their distance in Å.
Space group F-43m (No. 216)
Asymmetric unit:
1 Gd 0.0000 0.0000 0.0000  4 Ag 2.99
2 Mg 0.0000 0.0000 0.5000  4 Ag 2.99
3 Ag 0.2500 0.2500 0.2500  4 Gd 2.99, 4 Mg 2.99

Gd2ScHg | PBE | optimized geometry

Properties
Its polymorph energy (0 for the lowest one) is 0 meV per atom. The calculation puts the formation energy at -20 kJ per mole of atoms.

abc: 3.6195 3.6195 8.4474
angles: 90.00 90.00 90.00
Last column: nearest neighbours and their distance in Å.
Space group P4/mmm (No. 123)
Asymmetric unit:
1 Gd 0.0000 0.0000 0.2394  4 Hg 3.26, 4 Sc 3.38, 4 Gd 3.62
2 Sc 0.5000 0.5000 0.5000  8 Gd 3.38, 4 Sc 3.62
3 Hg 0.5000 0.5000 0.0000  8 Gd 3.26, 4 Hg 3.62

CaAg2Ir | PBE | optimized geometry

Properties
Its polymorph energy (0 for the lowest one) is 253 meV per atom. The calculation puts the formation energy at 25 kJ per mole of atoms.

abc: 4.0825 4.0825 20.0078
angles: 90.00 90.00 90.00
Last column: nearest neighbours and their distance in Å.
Space group I-42d (No. 122)
Asymmetric unit:
1 Ca 0.0000 0.0000 0.0000  4 Ir 2.89, 4 Ag 2.93
2 Ag 0.2228 0.2500 0.6250  4 Ag 2.73-3.05, 2 Ir 2.85, 2 Ca 2.93
3 Ir 0.0000 0.0000 0.5000  4 Ag 2.85, 4 Ca 2.89

BaLi2Zn4 | PBE | optimized geometry

Properties
The calculation puts the formation energy at -15 kJ per mole of atoms.

abc: 13.6842 4.5049 4.7541
angles: 90.00 90.10 90.00
Last column: nearest neighbours and their distance in Å.
Space group C2/m (No. 12)
Asymmetric unit:
1 Ba 0.0000 0.0000 0.0000  12 Zn 3.54-3.64, 4 Li 3.54
2 Li 0.1999 0.5000 0.0008  2 Li 2.64, 4 Zn 2.74-2.76
3 Zn 0.0982 0.5000 0.5000  4 Zn 2.65-2.75, 2 Li 2.75-2.76
4 Zn 0.2008 0.0000 0.4988  5 Zn 2.62-2.75, 2 Li 2.74

Pr2ZrHg | PBE | optimized geometry

Properties
Its polymorph energy (0 for the lowest one) is 351 meV per atom. The calculation puts the formation energy at 23 kJ per mole of atoms.

abc: 3.3867 3.3867 35.4104
angles: 90.00 90.00 120.00
Last column: nearest neighbours and their distance in Å.
Space group R-3m (No. 166, hexagonal axes)
Asymmetric unit:
1 Pr 0.0000 0.0000 0.0898  1 Zr 3.18, 3 Hg 3.35, 6 Pr 3.39
2 Zr 0.0000 0.0000 0.0000  2 Pr 3.18, 6 Zr 3.39
3 Hg 0.0000 0.0000 0.5000  6 Pr 3.35, 6 Hg 3.39

Tm4HfCd3 | PBE | optimized geometry

Properties
The calculation puts the formation energy at -19 kJ per mole of atoms.

abc: 3.4517 3.4517 17.0153
angles: 90.00 90.00 90.00
Last column: nearest neighbours and their distance in Å.
Space group P4/mmm (No. 123)
Asymmetric unit:
1 Tm 0.0000 0.0000 0.1230  8 Cd 3.20-3.22, 4 Tm 3.45
2 Tm 0.0000 0.0000 0.3709  4 Cd 3.26, 4 Hf 3.28, 4 Tm 3.45
3 Hf 0.5000 0.5000 0.5000  8 Tm 3.28, 4 Hf 3.45
4 Cd 0.5000 0.5000 0.0000  8 Tm 3.22, 4 Cd 3.45
5 Cd 0.5000 0.5000 0.2442  8 Tm 3.20-3.26, 4 Cd 3.45

Tb2PrHo5 | PBE | optimized geometry

Properties
Its polymorph energy (0 for the lowest one) is 171 meV per atom. The calculation puts the formation energy at 18 kJ per mole of atoms.

abc: 5.7708 11.1188 8.5166
angles: 90.00 106.58 90.00
Last column: nearest neighbours and their distance in Å.
Space group P2_1/m (No. 11)
Asymmetric unit:
1 Tb 0.1190 0.1152 0.0399  2 Tb 2.89-3.00, 1 Ho 3.13
2 Pr 0.4957 0.7500 0.1542  4 Tb 3.47-3.77, 7 Ho 3.51-3.77
3 Ho 0.1965 0.5770 0.3811  3 Ho 3.32-3.65, 1 Pr 3.51, 2 Tb 3.53-3.55
4 Ho 0.2350 0.2500 0.4191  2 Tb 3.45, 1 Pr 3.52, 6 Ho 3.65-3.76
5 Ho 0.3297 0.5776 0.7874  3 Tb 3.13-3.49, 2 Ho 3.32-3.43

ReSbRu2 | PBE | optimized geometry

Properties
For the uncorrected formation energy, the calculation gives 831 meV per atom.

abc: 5.6455 5.6455 11.7105
angles: 90.00 90.00 90.00
Last column: nearest neighbours and their distance in Å.
Space group I-42d (No. 122)
Asymmetric unit:
1 Re 0.0000 0.0000 0.0000  4 Ru 2.38
2 Sb 0.0000 0.0000 0.5000  4 Ru 2.58
3 Ru 0.2193 0.2500 0.1250  2 Re 2.38, 2 Sb 2.58

TbTm4Co4 | PBE | optimized geometry

Properties
The calculation puts the formation energy at -9 kJ per mole of atoms.

abc: 8.3444 8.3444 5.4841
angles: 90.00 90.00 90.00
Last column: nearest neighbours and their distance in Å.
Space group P4_2/n (No. 86, origin choice 2)
Asymmetric unit:
1 Tb 0.2500 0.2500 0.2500  4 Co 2.59
2 Tm 0.0647 0.6723 0.1324  4 Co 2.64-2.90
3 Co 0.0144 0.6114 0.6181  1 Co 2.28

HoTm2Zn | PBE | optimized geometry

Properties
Its polymorph energy (0 for the lowest one) is 0 meV per atom. The calculation puts the formation energy at -16 kJ per mole of atoms.

abc: 3.5177 3.5177 8.5184
angles: 90.00 90.00 90.00
Last column: nearest neighbours and their distance in Å.
Space group P4/mmm (No. 123)
Asymmetric unit:
1 Ho 0.0000 0.0000 0.0000  4 Ho 3.52, 8 Tm 3.53
2 Tm 0.5000 0.5000 0.2942  4 Zn 3.04
3 Zn 0.0000 0.0000 0.5000  8 Tm 3.04

Cs3CaNp2Se6 | PBE | optimized geometry

Properties
For the uncorrected formation energy, the calculation gives -1372 meV per atom.

abc: 7.5064 12.9991 8.7114
angles: 90.00 106.66 90.00
Last column: nearest neighbours and their distance in Å.
Space group C2/m (No. 12)
Asymmetric unit:
1 Cs 0.0000 0.0000 0.0000  6 Se 3.57-3.66
2 Cs 0.0000 0.3379 0.0000  6 Se 3.59-3.66
3 Ca 0.0000 0.5000 0.5000  6 Se 3.02-3.03
4 Np 0.0000 0.1670 0.5000  6 Se 2.90
5 Se 0.2145 0.0000 0.6834  2 Np 2.90, 1 Ca 3.02
6 Se 0.2355 0.3264 0.6856  2 Np 2.90, 1 Ca 3.03

ScZn2Co | PBE | optimized geometry

Properties
The calculation puts the formation energy at -16 kJ per mole of atoms.

abc: 6.1775 6.1775 6.1775
angles: 90.00 90.00 90.00
Last column: nearest neighbours and their distance in Å.
Space group Fm-3m (No. 225)
Asymmetric unit:
1 Sc 0.0000 0.0000 0.0000  8 Zn 2.67
2 Zn 0.2500 0.2500 0.2500  4 Co 2.67, 4 Sc 2.67
3 Co 0.0000 0.0000 0.5000  8 Zn 2.67

MgBPd2Au | PBE | optimized geometry

Properties
The calculation puts the formation energy at -30 kJ per mole of atoms.

abc: 4.2234 4.2234 4.3307
angles: 90.00 90.00 90.00
Last column: nearest neighbours and their distance in Å.
Space group P4/mmm (No. 123)
Asymmetric unit:
1 Mg 0.0000 0.0000 0.0000  4 Au 2.99, 8 Pd 3.02
2 B 0.5000 0.5000 0.5000  4 Pd 2.11, 2 Au 2.17
3 Pd 0.0000 0.5000 0.5000  2 B 2.11
4 Au 0.5000 0.5000 0.0000  2 B 2.17

BeNbReF2 | PBE | optimized geometry

Properties
For the uncorrected formation energy, the calculation gives 342 meV per atom.

abc: 3.9500 3.9500 4.8229
angles: 90.00 90.00 90.00
Last column: nearest neighbours and their distance in Å.
Space group P4/mmm (No. 123)
Asymmetric unit:
1 Be 0.0000 0.0000 0.0000  2 Re 2.41
2 Nb 0.5000 0.5000 0.0000  4 Be 2.79, 8 F 3.12
3 Re 0.0000 0.0000 0.5000  4 F 1.98
4 F 0.0000 0.5000 0.5000  2 Re 1.98

Pa2MnGe3Ir4 | PBE | optimized geometry

Properties
The calculation puts the formation energy at -59 kJ per mole of atoms.

abc: 4.1000 4.1000 10.5927
angles: 90.00 90.00 90.00
Last column: nearest neighbours and their distance in Å.
Space group P-4m2 (No. 115)
Asymmetric unit:
1 Pa 0.0000 0.5000 0.2499  8 Ir 3.13-3.35, 6 Ge 3.16-3.35, 2 Mn 3.35
2 Mn 0.0000 0.0000 0.5000  4 Ir 2.53
3 Ge 0.0000 0.5000 0.8680  5 Ir 2.42-2.48
4 Ge 0.5000 0.5000 0.5000  4 Ir 2.53
5 Ir 0.0000 0.0000 0.0000  4 Ge 2.48
6 Ir 0.0000 0.5000 0.6399  3 Ge 2.42-2.53, 2 Mn 2.53
7 Ir 0.5000 0.5000 0.0000  4 Ge 2.48

Zr3Bi2 | PBE | optimized geometry

Properties
The calculation puts the formation energy at -31 kJ per mole of atoms.

abc: 11.6127 3.9958 10.8932
angles: 90.00 90.00 90.00
Last column: nearest neighbours and their distance in Å.
Space group Pnma (No. 62)
Asymmetric unit:
1 Zr 0.0365 0.2500 0.1162  5 Bi 3.00-3.06, 2 Zr 3.33
2 Zr 0.1204 0.7500 0.5824  5 Bi 2.96-3.00, 2 Zr 3.14
3 Zr 0.1965 0.2500 0.7898  4 Bi 2.98-3.09, 2 Zr 3.14
4 Bi 0.0483 0.7500 0.3218  7 Zr 2.96-3.09
5 Bi 0.2028 0.7500 0.0007  8 Zr 3.00-3.36

Cs2AlAg2 | PBE | optimized geometry

Properties
Its polymorph energy (0 for the lowest one) is 0 meV per atom. The calculation puts the formation energy at 0 kJ per mole of atoms.

abc: 4.7553 4.7553 34.5928
angles: 90.00 90.00 120.00
Last column: nearest neighbours and their distance in Å.
Space group R-3m (No. 166, hexagonal axes)
Asymmetric unit:
1 Cs 0.0000 0.0000 0.0746  1 Ag 3.51
2 Al 0.0000 0.0000 0.5000  6 Ag 2.76
3 Ag 0.0000 0.0000 0.1761  3 Al 2.76, 3 Ag 2.82

Ca2MnSiN | PBE | optimized geometry

Properties
For the uncorrected formation energy, the calculation gives 538 meV per atom.

abc: 5.9372 5.9372 3.4885
angles: 90.00 90.00 90.00
Last column: nearest neighbours and their distance in Å.
Space group P4/mmm (No. 123)
Asymmetric unit:
1 Ca 0.0000 0.5000 0.0000  2 Si 2.97
2 Mn 0.0000 0.0000 0.5000  8 Ca 3.44, 2 Mn 3.49
3 Si 0.5000 0.5000 0.0000  2 N 1.74
4 N 0.5000 0.5000 0.5000  2 Si 1.74

Mg2CuMo | PBE | optimized geometry

Properties
Its polymorph energy (0 for the lowest one) is 163 meV per atom. The calculation puts the formation energy at 31 kJ per mole of atoms.

abc: 2.6858 4.4949 5.4967
angles: 90.00 100.23 90.00
Last column: nearest neighbours and their distance in Å.
Space group P2/m (No. 10)
Asymmetric unit:
1 Mg 0.1873 0.0000 0.2518  4 Mg 2.69-2.94, 2 Cu 2.72, 2 Mo 2.84
2 Cu 0.0000 0.5000 0.5000  2 Cu 2.69, 4 Mg 2.72, 2 Mo 2.84
3 Mo 0.5000 0.5000 0.0000  2 Mo 2.69, 2 Cu 2.84, 4 Mg 2.84

Er6Sc2Tl | PBE | optimized geometry

Properties
The calculation puts the formation energy at -3 kJ per mole of atoms.

abc: 10.3174 10.3174 4.7759
angles: 90.00 90.00 90.00
Last column: nearest neighbours and their distance in Å.
Space group P4_2/mnm (No. 136)
Asymmetric unit:
1 Er 0.0011 0.3325 0.0000  8 Er 3.40-3.50, 3 Sc 3.41-3.45, 1 Tl 3.43
2 Er 0.1619 0.1619 0.5000  2 Tl 3.36, 4 Sc 3.36-3.49, 6 Er 3.40-3.50
3 Sc 0.1641 0.8359 0.5000  10 Er 3.36-3.49, 2 Tl 3.38
4 Tl 0.0000 0.0000 0.0000  8 Er 3.36-3.43, 4 Sc 3.38

ScFe2BC | PBE | optimized geometry

Properties
The calculation puts the formation energy at -38 kJ per mole of atoms.

abc: 3.3081 9.9363 6.4210
angles: 90.00 90.00 90.00
Last column: nearest neighbours and their distance in Å.
Space group Cmcm (No. 63)
Asymmetric unit:
1 Sc 0.0000 0.0465 0.2500  4 C 2.35
2 Fe 0.0000 0.3260 0.0628  1 C 1.77
3 B 0.0000 0.2344 0.7500  6 Fe 2.13-2.21
4 C 0.0000 0.5000 0.0000  2 Fe 1.77

Cr2CoAg | PBE | optimized geometry

Properties
Its polymorph energy (0 for the lowest one) is 76 meV per atom. The calculation puts the formation energy at 41 kJ per mole of atoms.

abc: 2.6704 3.6548 5.4115
angles: 90.00 90.00 90.00
Last column: nearest neighbours and their distance in Å.
Space group Pmmm (No. 47)
Asymmetric unit:
1 Cr 0.0000 0.0000 0.1922  1 Cr 2.08
2 Co 0.5000 0.5000 0.0000  8 Cr 2.49, 2 Co 2.67, 2 Ag 2.71
3 Ag 0.5000 0.5000 0.5000  2 Ag 2.67, 2 Co 2.71, 8 Cr 2.81

| no. | E_tot (eV per atom) |
| --- | --- |
| 1 | -6.34 |
| 2 | -3.82 |
| 3 | -1.60 |
| 4 | -6.25 |
| 5 | -8.91 |
| 6 | -3.88 |
| 7 | -1.71 |
| 8 | -4.37 |
| 9 | -4.02 |
| 10 | -4.43 |
| 11 | -7.95 |
| 12 | -5.75 |
| 13 | -3.86 |
| 14 | -5.65 |
| 15 | -4.16 |
| 16 | -4.70 |
| 17 | -5.66 |
| 18 | -8.36 |
| 19 | -7.00 |
| 20 | -2.23 |
| 21 | -4.85 |
| 22 | -4.21 |
| 23 | -4.74 |
| 24 | -8.23 |
| 25 | -6.88 |